[1]
This record from Alexandria via LeMat-Bulk describes crystalline KIn2Au2 at its relaxed geometry. The functional is PBE.

Calculated values
The crystal system is tetragonal. Its energy above the most stable polymorph in this dataset is 59 kJ/mol of formula units. For the formation energy, the calculation gives -92 kJ/mol of formula units.

Cell and atoms, written as POSCAR:
```
KIn2Au2
1.0
-2.128 8.227 1.417
-1.895 -1.900 8.186
3.122 0.657 0.875
In K Au
4 2 4
Direct
0.127 0.373 0.000
0.873 0.627 0.000
0.373 0.873 0.000
0.627 0.127 0.000
0.000 0.000 0.000
0.500 0.500 0.000
0.829 0.329 0.500
0.329 0.171 0.500
0.171 0.671 0.500
0.671 0.829 0.500
```


[2]
This record from Alexandria via LeMat-Bulk describes crystalline K3InAu2 at its relaxed geometry. The functional is PBE.

Calculated values
The crystal system is monoclinic. Its energy above the most stable polymorph in this dataset is 0 kJ/mol of formula units. For the formation energy, the calculation gives -133 kJ/mol of formula units.

Cell and atoms, written as POSCAR:
```
K3InAu2
1.0
7.929 0.000 -3.768
0.000 9.705 0.000
-0.969 0.000 11.428
K Au In
12 8 4
Direct
0.910 0.741 0.146
0.757 0.591 0.481
0.257 0.909 0.981
0.566 0.417 0.890
0.434 0.583 0.110
0.090 0.259 0.854
0.066 0.083 0.390
0.410 0.759 0.646
0.743 0.091 0.019
0.243 0.409 0.519
0.590 0.241 0.354
0.934 0.917 0.610
0.693 0.368 0.679
0.173 0.596 0.770
0.673 0.904 0.270
0.827 0.404 0.230
0.327 0.096 0.730
0.193 0.132 0.179
0.807 0.868 0.821
0.307 0.632 0.321
0.587 0.088 0.651
0.413 0.912 0.349
0.913 0.588 0.849
0.087 0.412 0.151
```


[3]
This record from Alexandria via LeMat-Bulk describes crystalline K2In2Au3 at its relaxed geometry. The functional is PBE.

Calculated values
The crystal system is monoclinic. Its energy above the most stable polymorph in this dataset is 9 kJ/mol of formula units. For the formation energy, the calculation gives -171 kJ/mol of formula units.

Cell and atoms, written as POSCAR:
```
K2In2Au3
1.0
7.858 0.000 0.000
0.000 7.138 -3.648
0.000 -1.018 8.798
In Au K
4 6 4
Direct
0.692 0.735 0.437
0.192 0.765 0.063
0.308 0.265 0.563
0.808 0.235 0.937
0.500 0.500 0.500
0.435 0.880 0.316
0.935 0.620 0.184
0.000 0.000 0.000
0.065 0.380 0.816
0.565 0.120 0.684
0.165 0.821 0.591
0.335 0.321 0.091
0.835 0.179 0.409
0.665 0.679 0.909
```


[4]
This record from Alexandria via LeMat-Bulk describes crystalline K3In5Au3 at its relaxed geometry. The functional is PBE.

Calculated values
The crystal system is hexagonal. For the formation energy, the calculation gives -174 kJ/mol of formula units.

Cell and atoms, written as POSCAR:
```
K3In5Au3
1.0
-1.241 -5.981 2.165
0.386 -2.981 -8.013
7.074 0.273 4.809
K Au In
3 3 5
Direct
0.000 0.000 0.664
0.000 0.336 0.336
0.000 0.664 0.000
0.500 0.000 0.638
0.500 0.638 0.000
0.500 0.362 0.362
0.500 0.271 0.000
0.500 0.729 0.729
0.500 0.333 0.667
0.500 0.000 0.271
0.500 0.667 0.333
```


[5]
This record from Alexandria via LeMat-Bulk describes crystalline K2InAu2 at its relaxed geometry. The functional is PBE.

Calculated values
The crystal system is monoclinic. Its energy above the most stable polymorph in this dataset is 0 kJ/mol of formula units. For the formation energy, the calculation gives -153 kJ/mol of formula units.

Cell and atoms, written as POSCAR:
```
K2InAu2
1.0
-3.282 -5.198 2.600
4.620 3.068 3.397
-6.624 4.955 1.543
Au In K
4 2 4
Direct
0.716 0.718 0.497
0.002 0.718 0.997
0.284 0.282 0.503
0.998 0.282 0.003
0.101 0.000 0.750
0.899 0.000 0.250
0.485 0.709 0.862
0.515 0.291 0.138
0.776 0.291 0.638
0.224 0.709 0.362
```


[6]
This record from Alexandria via LeMat-Bulk describes crystalline KInAu3 at its relaxed geometry. The functional is PBE.

Calculated values
The crystal system is orthorhombic. Its energy above the most stable polymorph in this dataset is 0 kJ/mol of formula units. For the formation energy, the calculation gives -107 kJ/mol of formula units.

Cell and atoms, written as POSCAR:
```
KInAu3
1.0
-4.585 3.233 0.519
-6.349 -3.930 -1.028
-2.242 0.577 7.173
K Au In
2 6 2
Direct
0.922 0.328 0.828
0.078 0.672 0.172
0.000 0.213 0.287
0.500 0.787 0.713
0.381 0.869 0.369
0.000 0.787 0.713
0.500 0.213 0.287
0.619 0.131 0.631
0.500 0.500 0.500
0.500 0.000 0.000
```